A plane-wave DFT calculation with PBE+U was carried out for a relaxed structure of LaW2F.

VASP energy in eV per atom: -3.52
Theoretical density in Mg/m³: 11.55

a b c (Å): 4.7460 4.7460 4.7460
angles (deg): 60.00 60.00 60.00
Last column: magnetic moment on the atom in μB.
Element x y z (fractional)
F 0.0000 0.0000 0.0000  -0.02
W 0.7500 0.7500 0.7500  -0.23
W 0.2500 0.2500 0.2500  -0.23
La 0.5000 0.5000 0.5000  0.01